*one*
## KBaNF2 (PBE)

Data for KBaNF2 after structural relaxation.

a b c (Å): 4.723 4.723 4.919
angles (deg): 90.00 90.00 90.00
Space group P4/mmm (No. 123)
Symmetry-distinct sites (fractional):
1 K 0.000 0.000 0.000 [1 per cell]
2 Ba 0.500 0.500 0.500 [1 per cell]
3 N 0.000 0.000 0.500 [1 per cell]
4 F 0.000 0.500 0.000 [2 per cell]

Results
Calculated density, kg/m3: 3456
Total magnetic moment, μB/cell: 2.00
N(E_F), states/eV/f.u.: 2.96

*two*
## KBaNF2 (PBE)

Data for KBaNF2 after structural relaxation.

a b c (Å): 5.088 5.088 5.425
angles (deg): 90.00 90.00 90.00
Space group P4/mmm (No. 123)
Symmetry-distinct sites (fractional):
1 K 0.000 0.000 0.000 [1 per cell]
2 Ba 0.500 0.500 0.500 [1 per cell]
3 N 0.500 0.500 0.000 [1 per cell]
4 F 0.000 0.500 0.500 [2 per cell]

Results
Calculated density, kg/m3: 2701
Total magnetic moment, μB/cell: 2.00
N(E_F), states/eV/f.u.: 3.61

Which structure is most stable, and how do the rest compare? From most to least stable: *two*, *one*.

*one*
## BaLa3F (PBE)

Data for BaLa3F after structural relaxation.

a b c (Å): 5.433 5.433 5.433
angles (deg): 90.00 90.00 90.00
Space group Pm-3m (No. 221)
Symmetry-distinct sites (fractional):
1 Ba 0.000 0.000 0.000 [1 per cell]
2 La 0.000 0.500 0.500 [3 per cell]
3 F 0.500 0.500 0.500 [1 per cell]

Results
Calculated density, kg/m3: 5932
Total magnetic moment, μB/cell: 0.00
N(E_F), states/eV/f.u.: 4.36

*two*
## BaLa3F (PBE)

Data for BaLa3F after structural relaxation.

a b c (Å): 6.025 6.025 6.025
angles (deg): 90.00 90.00 90.00
Space group Pm-3m (No. 221)
Symmetry-distinct sites (fractional):
1 Ba 0.000 0.000 0.000 [1 per cell]
2 La 0.000 0.000 0.500 [3 per cell]
3 F 0.500 0.500 0.500 [1 per cell]

Results
Calculated density, kg/m3: 4351
Total magnetic moment, μB/cell: 0.33
N(E_F), states/eV/f.u.: 9.82

Which structure is most stable, and how do the rest compare? From most to least stable: *one*, *two*.

*one*
## Ba2LaF (PBE)

Data for Ba2LaF after structural relaxation.

a b c (Å): 8.272 8.272 9.945
angles (deg): 90.00 90.00 90.00
Space group I-42d (No. 122)
Symmetry-distinct sites (fractional):
1 Ba 0.114 0.250 0.125 [8 per cell]
2 La 0.000 0.000 0.500 [4 per cell]
3 F 0.000 0.000 0.000 [4 per cell]

Results
Calculated density, kg/m3: 4222
Total magnetic moment, μB/cell: 0.00
N(E_F), states/eV/f.u.: 4.16

*two*
## Ba2LaF (PBE)

Data for Ba2LaF after structural relaxation.

a b c (Å): 8.690 8.690 8.690
angles (deg): 90.00 90.00 90.00
Space group Fm-3m (No. 225)
Symmetry-distinct sites (fractional):
1 Ba 0.250 0.250 0.250 [8 per cell]
2 La 0.000 0.000 0.000 [4 per cell]
3 F 0.000 0.000 0.500 [4 per cell]

Results
Calculated density, kg/m3: 4378
Total magnetic moment, μB/cell: 20.66
N(E_F), states/eV/f.u.: 3.84

Which structure is most stable, and how do the rest compare? From most to least stable: *one*, *two*.

*one*
## BaLaN2F (PBE)

Data for BaLaN2F after structural relaxation.

a b c (Å): 4.557 4.557 4.774
angles (deg): 90.00 90.00 90.00
Space group P4/mmm (No. 123)
Symmetry-distinct sites (fractional):
1 Ba 0.000 0.000 0.000 [1 per cell]
2 La 0.500 0.500 0.500 [1 per cell]
3 N 0.000 0.500 0.500 [2 per cell]
4 F 0.500 0.500 0.000 [1 per cell]

Results
Calculated density, kg/m3: 5415
Total magnetic moment, μB/cell: 0.50
N(E_F), states/eV/f.u.: 2.40

*two*
## BaLaN2F (PBE)

Data for BaLaN2F after structural relaxation.

a b c (Å): 4.680 4.680 4.658
angles (deg): 90.00 90.00 90.00
Space group P4/mmm (No. 123)
Symmetry-distinct sites (fractional):
1 Ba 0.000 0.000 0.000 [1 per cell]
2 La 0.500 0.500 0.500 [1 per cell]
3 N 0.000 0.500 0.000 [2 per cell]
4 F 0.000 0.000 0.500 [1 per cell]

Results
Calculated density, kg/m3: 5262
Total magnetic moment, μB/cell: 0.21
N(E_F), states/eV/f.u.: 2.02

Which structure is most stable, and how do the rest compare? From most to least stable: *one*, *two*.